Entry 1:
This record from Alexandria describes a geometry-optimized CsTiMnTe3 structure. The functional is PBE-GGA.

The value obtained for the spin magnetization is 7.540 μB/cell.

a b c (Å): 9.963 4.160 10.923
angles (deg): 90.00 117.11 90.00
Positions (direct):
Cs1 0.224 0.250 0.258
Cs2 0.776 0.750 0.742
Ti1 0.336 0.750 0.860
Ti2 0.664 0.250 0.140
Mn1 0.083 0.250 0.612
Mn2 0.917 0.750 0.388
Te1 0.141 0.250 0.871
Te2 0.225 0.750 0.562
Te3 0.472 0.750 0.146
Te4 0.528 0.250 0.854
Te5 0.775 0.250 0.438
Te6 0.859 0.750 0.129

=====

Entry 2:
This record from Alexandria describes a geometry-optimized Sb2PtCl structure. The functional is PBE-GGA.

The calculation puts the excess energy over the best structure of this formula in the dataset at 373 meV/atom. The value obtained for the spin magnetization is 0.000 μB/cell.

a b c (Å): 7.647 7.647 7.647
angles (deg): 129.58 129.58 74.08
Positions (direct):
Sb1 0.065 0.625 0.940
Sb2 0.375 0.315 0.440
Sb3 0.685 0.125 0.060
Sb4 0.875 0.935 0.560
Pt1 0.000 0.000 0.000
Pt2 0.750 0.250 0.500
Cl1 0.250 0.750 0.500
Cl2 0.500 0.500 0.000

=====

Looking at formation energy (no corrections) for the records above, in order, we have -63 -10 kJ per mole of atoms.